Entry 1:
# AlMo3Ru

Crystalline AlMo3Ru at its relaxed geometry (PBE, Alexandria).

Structure (POSCAR):
```
AlMo3Ru
1.0
4.6741 0.0000 0.0000
0.0000 4.6741 0.0000
0.0000 0.0000 4.6741
Ru Mo Al
1 3 1
direct
0.0000 0.0000 0.0000 Ru
0.0000 0.0000 0.5000 Mo
0.0000 0.5000 0.0000 Mo
0.5000 0.0000 0.0000 Mo
0.5000 0.5000 0.5000 Al
```

## Properties
The space-group type is Pm-3m (221). Its energy of formation from the pure elements is 719 kJ/mol of formula units. The density of states at the Fermi level is 6.06 states/eV/cell. Its relative energy among the computed polymorphs is 0.00 eV per formula unit.

Entry 2:
# AlMo3Ru

Crystalline AlMo3Ru at its relaxed geometry (PBE, Alexandria).

Structure (POSCAR):
```
AlMo3Ru
1.0
4.4576 0.0000 0.0000
0.0000 4.4576 0.0000
0.0000 0.0000 4.4576
Mo Al Ru
3 1 1
direct
0.5000 0.0000 0.0000 Mo
0.0000 0.0000 0.5000 Mo
0.0000 0.5000 0.0000 Mo
0.0000 0.0000 0.0000 Al
0.5000 0.5000 0.5000 Ru
```

## Properties
The space-group type is Pm-3m (221). Its energy of formation from the pure elements is 789 kJ/mol of formula units. The density of states at the Fermi level is 6.37 states/eV/cell. Its relative energy among the computed polymorphs is 0.73 eV per formula unit.

Entry 3:
# AlMo2Ru

Crystalline AlMo2Ru at its relaxed geometry (PBE, Alexandria).

Structure (POSCAR):
```
AlMo2Ru
1.0
-0.7227 -1.4461 -2.3010
1.8949 -1.9749 0.6460
-5.2807 -3.7527 4.0172
Mo Al Ru
2 1 1
direct
0.0000 0.0000 0.0064 Mo
0.0000 0.0000 0.4936 Mo
0.5000 0.5000 0.7500 Al
0.5000 0.5000 0.2500 Ru
```

## Properties
The space-group type is P4/mmm (123). Its energy of formation from the pure elements is -38 kJ/mol of formula units. The density of states at the Fermi level is 2.26 states/eV/cell.

Entry 4:
# AlMo2Ru

Crystalline AlMo2Ru at its relaxed geometry (PBE, Alexandria).

Structure (POSCAR):
```
AlMo2Ru
1.0
5.0968 0.0032 -0.0055
2.1883 4.6032 0.0055
-3.1531 -3.0773 2.5624
Mo Al Ru
2 1 1
direct
0.7541 0.2541 0.5000 Mo
0.9903 0.9903 0.0000 Mo
0.2539 0.7539 0.5000 Al
0.5017 0.5017 0.0000 Ru
```

## Properties
The space-group type is Imm2 (44). Its energy of formation from the pure elements is -47 kJ/mol of formula units. The density of states at the Fermi level is 2.79 states/eV/cell.

Entry 5:
# AlMoRu2

Crystalline AlMoRu2 at its relaxed geometry (PBE, Alexandria).

Structure (POSCAR):
```
AlMoRu2
1.0
-3.1593 -0.8047 3.1027
-1.2744 -2.8636 3.2296
2.2725 2.3081 3.6924
Mo Al Ru
1 1 2
direct
0.7500 0.7500 0.7500 Mo
0.2500 0.2500 0.2500 Al
0.5042 0.5042 0.4921 Ru
0.9958 0.9958 0.0079 Ru
```

## Properties
The space-group type is C2/m (12). Its energy of formation from the pure elements is -50 kJ/mol of formula units. The density of states at the Fermi level is 3.04 states/eV/cell.

Entry 6:
# AlMo2Ru

Crystalline AlMo2Ru at its relaxed geometry (PBE, Alexandria).

Structure (POSCAR):
```
AlMo2Ru
1.0
9.1095 0.0036 0.0021
8.6777 2.7715 0.0021
8.6777 1.3539 2.4183
Ru Mo Al
1 2 1
direct
0.4991 0.4991 0.4991 Ru
0.2452 0.2452 0.2452 Mo
0.0022 0.0022 0.0022 Mo
0.7535 0.7535 0.7535 Al
```

## Properties
The space-group type is R3m (160). Its energy of formation from the pure elements is 5 kJ/mol of formula units. The density of states at the Fermi level is 3.63 states/eV/cell.

Entry 7:
# AlMoRu2

Crystalline AlMoRu2 at its relaxed geometry (PBE, Alexandria).

Structure (POSCAR):
```
AlMoRu2
1.0
-0.9526 0.2650 -2.5570
-0.0809 -2.5669 0.9593
-7.8034 1.3859 3.0507
Ru Al Mo
2 1 1
direct
0.0000 0.0000 0.0092 Ru
0.0000 0.0000 0.4908 Ru
0.5000 0.5000 0.2500 Al
0.5000 0.5000 0.7500 Mo
```

## Properties
The space-group type is Cmmm (65). Its energy of formation from the pure elements is -16 kJ/mol of formula units. The density of states at the Fermi level is 3.74 states/eV/cell.

Entry 8:
# AlMoRu2

Crystalline AlMoRu2 at its relaxed geometry (PBE, Alexandria).

Structure (POSCAR):
```
AlMoRu2
1.0
-1.3144 3.3995 1.7422
-2.3910 -0.1792 -1.4542
-4.4834 -2.9451 2.3642
Al Mo Ru
1 1 2
direct
0.0000 0.5233 0.4786 Al
0.5000 0.7481 0.7569 Mo
0.0000 0.0150 0.9791 Ru
0.5000 0.2136 0.2854 Ru
```

## Properties
The space-group type is Pm (6). Its energy of formation from the pure elements is -76 kJ/mol of formula units. The density of states at the Fermi level is 2.54 states/eV/cell.

Entry 9:
# AlMoRu2

Crystalline AlMoRu2 at its relaxed geometry (PBE, Alexandria).

Structure (POSCAR):
```
AlMoRu2
1.0
-3.8412 -1.9689 0.6133
-2.1878 -1.6194 -3.4056
-0.3448 -4.3152 -0.5171
Al Ru Mo
1 2 1
direct
0.5000 0.5000 0.5000 Al
0.0000 0.0000 0.0000 Ru
0.7500 0.7500 0.7500 Ru
0.2500 0.2500 0.2500 Mo
```

## Properties
The space-group type is F-43m (216). Its energy of formation from the pure elements is 20 kJ/mol of formula units. The density of states at the Fermi level is 6.34 states/eV/cell.

Entry 10:
# AlMo2Ru

Crystalline AlMo2Ru at its relaxed geometry (PBE, Alexandria).

Structure (POSCAR):
```
AlMo2Ru
1.0
4.3152 0.0000 0.0000
0.0000 2.7732 -0.0144
0.0000 0.9654 5.0226
Mo Ru Al
2 1 1
direct
0.5000 0.2229 0.2562 Mo
0.0000 0.0583 0.9897 Mo
0.0000 0.5166 0.5022 Ru
0.5000 0.7022 0.7520 Al
```

## Properties
The space-group type is Pm (6). Its energy of formation from the pure elements is -46 kJ/mol of formula units. The density of states at the Fermi level is 3.44 states/eV/cell.

Entry 11:
# AlMoRu2

Crystalline AlMoRu2 at its relaxed geometry (PBE, Alexandria).

Structure (POSCAR):
```
AlMoRu2
1.0
-1.8937 -0.0082 -2.1185
0.1843 -2.8313 -0.1538
-5.2998 -0.6023 4.7399
Al Mo Ru
1 1 2
direct
0.0000 0.0000 0.4845 Al
0.5000 0.5000 0.7474 Mo
0.5000 0.5000 0.2600 Ru
0.0000 0.0000 0.0081 Ru
```

## Properties
The space-group type is P4mm (99). Its energy of formation from the pure elements is -43 kJ/mol of formula units. The density of states at the Fermi level is 4.72 states/eV/cell.

Entry 12:
# AlMoRuS2

Crystalline AlMoRuS2 at its relaxed geometry (PBE, Alexandria).

Structure (POSCAR):
```
AlMoRuS2
1.0
-1.3506 1.5083 -4.0555
0.4291 -4.5410 -1.8317
-4.3087 -0.8573 1.1161
Ru Mo S Al
1 1 2 1
direct
0.0000 0.0000 0.0000 Ru
0.0000 0.5000 0.0000 Mo
0.5000 0.0000 0.0000 S
0.0000 0.0000 0.5000 S
0.5000 0.5000 0.5000 Al
```

## Properties
The total DFT energy (no corrections) comes out at -5.562 eV/atom. The space-group type is P4/mmm (123). The density of states at the Fermi level is 4.17 states/eV/cell.

Entry 13:
# SrAlMoRu2

Crystalline SrAlMoRu2 at its relaxed geometry (PBE, Alexandria).

Structure (POSCAR):
```
SrAlMoRu2
1.0
4.7498 0.0000 0.0000
0.0000 4.9725 0.0000
0.0000 0.0000 4.7498
Sr Mo Ru Al
1 1 2 1
direct
0.5000 0.5000 0.5000 Sr
0.0000 0.0000 0.0000 Mo
0.5000 0.0000 0.0000 Ru
0.0000 0.0000 0.5000 Ru
0.0000 0.5000 0.0000 Al
```

## Properties
The space-group type is P4/mmm (123). Its energy of formation from the pure elements is 321 kJ/mol of formula units. The density of states at the Fermi level is 7.63 states/eV/cell.

Entry 14:
# TaAlMoRu

Crystalline TaAlMoRu at its relaxed geometry (PBE, Alexandria).

Structure (POSCAR):
```
TaAlMoRu
1.0
-1.0555 4.3075 -0.2557
-2.7594 1.7917 2.9849
1.5544 2.8515 3.0310
Ta Ru Mo Al
1 1 1 1
direct
0.0000 0.0000 0.0000 Ta
0.2500 0.2500 0.2500 Ru
0.7500 0.7500 0.7500 Mo
0.5000 0.5000 0.5000 Al
```

## Properties
The space-group type is F-43m (216). Its energy of formation from the pure elements is -119 kJ/mol of formula units. The density of states at the Fermi level is 4.56 states/eV/cell.

Entry 15:
# Ti3Al3MoRu2

Crystalline Ti3Al3MoRu2 at its relaxed geometry (PBE, Alexandria).

Structure (POSCAR):
```
Ti3Al3MoRu2
1.0
2.9683 0.0000 0.0000
0.0000 7.3786 0.0000
0.0000 -3.6893 6.3900
Al Ti Ru Mo
3 3 2 1
direct
0.0000 0.0000 0.3711 Al
0.0000 0.3711 0.0000 Al
0.0000 0.6289 0.6289 Al
0.5000 0.2975 0.2975 Ti
0.5000 0.0000 0.7025 Ti
0.5000 0.7025 0.0000 Ti
0.5000 0.3333 0.6667 Ru
0.5000 0.6667 0.3333 Ru
0.0000 0.0000 0.0000 Mo
```

## Properties
The space-group type is P-62m (189). Its energy of formation from the pure elements is -312 kJ/mol of formula units. The density of states at the Fermi level is 7.90 states/eV/cell.

Entry 16:
# Al2VMoRu

Crystalline Al2VMoRu at its relaxed geometry (PBE, Alexandria).

Structure (POSCAR):
```
Al2VMoRu
1.0
-4.5167 0.7608 0.6576
0.2355 -1.8844 3.7973
0.9723 4.0762 1.9625
Al V Mo Ru
2 1 1 1
direct
0.5000 0.0000 0.0000 Al
0.0000 0.0000 0.5000 Al
0.0000 0.0000 0.0000 V
0.0000 0.5000 0.0000 Mo
0.5000 0.5000 0.5000 Ru
```

## Properties
The space-group type is P4/mmm (123). Its energy of formation from the pure elements is 548 kJ/mol of formula units. The density of states at the Fermi level is 5.64 states/eV/cell.

Entry 17:
# Y2Al2MoRu5

Crystalline Y2Al2MoRu5 at its relaxed geometry (PBE, Alexandria).

Structure (POSCAR):
```
Y2Al2MoRu5
1.0
-1.5383 -2.7862 -0.6876
7.7330 -5.2411 3.9373
-4.4758 0.2272 9.0932
Mo Ru Al Y
2 10 4 4
direct
0.0000 0.5000 0.5000 Mo
0.0000 0.0000 0.0000 Mo
0.5000 0.8034 0.9353 Ru
0.5000 0.9353 0.1966 Ru
0.5000 0.6966 0.4353 Ru
0.5000 0.0647 0.8034 Ru
0.5000 0.5000 0.0000 Ru
0.5000 0.0000 0.5000 Ru
0.5000 0.3034 0.5647 Ru
0.5000 0.4353 0.3034 Ru
0.5000 0.5647 0.6966 Ru
0.5000 0.1966 0.0647 Ru
0.0000 0.8733 0.3733 Al
0.0000 0.6267 0.8733 Al
0.0000 0.1267 0.6267 Al
0.0000 0.3733 0.1267 Al
0.0000 0.8281 0.6719 Y
0.0000 0.3281 0.8281 Y
0.0000 0.1719 0.3281 Y
0.0000 0.6719 0.1719 Y
```

## Properties
The space-group type is P4/mbm (127). Its energy of formation from the pure elements is -340 kJ/mol of formula units. The density of states at the Fermi level is 12.34 states/eV/cell.

Entry 18:
# AlZnMoRu

Crystalline AlZnMoRu at its relaxed geometry (PBE, Alexandria).

Structure (POSCAR):
```
AlZnMoRu
1.0
4.3442 0.0000 0.0000
2.1721 3.7622 0.0000
2.1721 1.2541 3.5470
Mo Zn Ru Al
1 1 1 1
direct
0.0000 0.0000 0.0000 Mo
0.7500 0.7500 0.7500 Zn
0.2500 0.2500 0.2500 Ru
0.5000 0.5000 0.5000 Al
```

## Properties
The space-group type is F-43m (216). Its energy of formation from the pure elements is -44 kJ/mol of formula units. The density of states at the Fermi level is 3.09 states/eV/cell.

Entry 19:
# AlMoS3

Crystalline AlMoS3 at its relaxed geometry (PBE, Alexandria).

Structure (POSCAR):
```
AlMoS3
1.0
4.7163 0.0000 0.0000
0.0000 4.7163 0.0000
0.0000 0.0000 4.7163
S Mo Al
3 1 1
direct
0.0000 0.0000 0.5000 S
0.0000 0.5000 0.0000 S
0.5000 0.0000 0.0000 S
0.0000 0.0000 0.0000 Mo
0.5000 0.5000 0.5000 Al
```

## Properties
The space-group type is Pm-3m (221). The density of states at the Fermi level is 2.17 states/eV/cell. Its relative energy among the computed polymorphs is 0.00 eV per formula unit.

Entry 20:
# AlMoS

Crystalline AlMoS at its relaxed geometry (PBE, Alexandria).

Structure (POSCAR):
```
AlMoS
1.0
4.3317 0.0000 0.0000
2.1658 3.7514 0.0000
2.1658 1.2505 7.6354
Al Mo S
2 2 2
direct
0.8322 0.8322 0.5033 Al
0.1678 0.1678 0.4967 Al
0.5520 0.5520 0.3440 Mo
0.4480 0.4480 0.6560 Mo
0.2685 0.2685 0.1945 S
0.7315 0.7315 0.8055 S
```

## Properties
The total DFT energy (no corrections) comes out at -6.227 eV/atom. The space-group type is R-3m (166). The density of states at the Fermi level is 5.46 states/eV/cell.

Entry 21:
# Al2MoS

Crystalline Al2MoS at its relaxed geometry (PBE, Alexandria).

Structure (POSCAR):
```
Al2MoS
1.0
6.9634 0.0000 0.0000
0.0000 6.9634 0.0000
3.4817 3.4817 2.6542
S Al Mo
2 4 2
direct
0.2500 0.7500 0.5000 S
0.5000 0.5000 0.0000 S
0.5936 0.1250 0.2500 Al
0.8750 0.8436 0.7500 Al
0.3750 0.4064 0.7500 Al
0.1564 0.6250 0.2500 Al
0.0000 0.0000 0.0000 Mo
0.7500 0.2500 0.5000 Mo
```

## Properties
The total DFT energy (no corrections) comes out at -5.414 eV/atom. The space-group type is I-42d (122). The density of states at the Fermi level is 5.12 states/eV/cell.

Entry 22:
# AlMo2S2

Crystalline AlMo2S2 at its relaxed geometry (PBE, Alexandria).

Structure (POSCAR):
```
AlMo2S2
1.0
7.1788 0.0000 0.0000
0.0000 7.1788 0.0000
0.0000 0.0000 2.9521
Mo Al S
4 2 4
direct
0.3466 0.8466 0.0000 Mo
0.8466 0.6534 0.0000 Mo
0.6534 0.1534 0.0000 Mo
0.1534 0.3466 0.0000 Mo
0.0000 0.0000 0.0000 Al
0.5000 0.5000 0.0000 Al
0.1395 0.6395 0.5000 S
0.8605 0.3605 0.5000 S
0.6395 0.8605 0.5000 S
0.3605 0.1395 0.5000 S
```

## Properties
The space-group type is P4/mbm (127). The density of states at the Fermi level is 7.92 states/eV/cell. Its relative energy among the computed polymorphs is 0.00 eV per formula unit.

Entry 23:
# AlMo2S2

Crystalline AlMo2S2 at its relaxed geometry (PBE, Alexandria).

Structure (POSCAR):
```
AlMo2S2
1.0
-1.5523 2.7242 -2.1719
-3.3371 -0.4793 1.7839
-0.9463 5.0529 3.6651
Al Mo S
1 2 2
direct
0.0000 0.0000 0.0000 Al
0.6207 0.6207 0.7587 Mo
0.3793 0.3793 0.2413 Mo
0.7500 0.2500 0.5000 S
0.2500 0.7500 0.5000 S
```

## Properties
The space-group type is I4/mmm (139). The density of states at the Fermi level is 3.97 states/eV/cell. Its relative energy among the computed polymorphs is 0.10 eV per formula unit.

Entry 24:
# Al3MoS

Crystalline Al3MoS at its relaxed geometry (PBE, Alexandria).

Structure (POSCAR):
```
Al3MoS
1.0
-4.2070 2.4400 0.8340
-2.2024 -4.2302 1.2663
1.3411 0.7074 4.6956
Mo Al S
1 3 1
direct
0.0000 0.0000 0.0000 Mo
0.5000 0.0000 0.0000 Al
0.0000 0.5000 0.0000 Al
0.0000 0.0000 0.5000 Al
0.5000 0.5000 0.5000 S
```

## Properties
The space-group type is Pm-3m (221). The density of states at the Fermi level is 3.89 states/eV/cell. Its relative energy among the computed polymorphs is 0.60 eV per formula unit.

Entry 25:
# Al3MoS

Crystalline Al3MoS at its relaxed geometry (PBE, Alexandria).

Structure (POSCAR):
```
Al3MoS
1.0
-2.1090 3.9480 0.3788
-2.2986 -0.8670 -3.7607
-3.2321 -1.9595 2.4273
Al Mo S
3 1 1
direct
0.0000 0.0000 0.5000 Al
0.5000 0.0000 0.0000 Al
0.0000 0.5000 0.0000 Al
0.5000 0.5000 0.5000 Mo
0.0000 0.0000 0.0000 S
```

## Properties
The space-group type is Pm-3m (221). The density of states at the Fermi level is 3.62 states/eV/cell. Its relative energy among the computed polymorphs is 0.00 eV per formula unit.

Entry 26:
# AlMoS3

Crystalline AlMoS3 at its relaxed geometry (PBE, Alexandria).

Structure (POSCAR):
```
AlMoS3
1.0
-4.2776 -1.5616 0.2547
1.0151 -3.2716 -3.0112
1.2138 -2.7675 3.4160
Mo S Al
1 3 1
direct
0.5000 0.5000 0.5000 Mo
0.5000 0.0000 0.0000 S
0.0000 0.0000 0.5000 S
0.0000 0.5000 0.0000 S
0.0000 0.0000 0.0000 Al
```

## Properties
The space-group type is Pm-3m (221). The density of states at the Fermi level is 1.96 states/eV/cell. Its relative energy among the computed polymorphs is 1.71 eV per formula unit.

Entry 27:
# TiAlMoS2

Crystalline TiAlMoS2 at its relaxed geometry (PBE, Alexandria).

Structure (POSCAR):
```
TiAlMoS2
1.0
-3.4560 -1.9129 2.3955
-0.1758 -3.7970 -3.2856
3.0613 -2.3439 2.5449
Mo S Al Ti
1 2 1 1
direct
0.5000 0.5000 0.5000 Mo
0.0000 0.0000 0.5000 S
0.5000 0.0000 0.0000 S
0.0000 0.5000 0.0000 Al
0.0000 0.0000 0.0000 Ti
```

## Properties
The total DFT energy (no corrections) comes out at -5.592 eV/atom. The space-group type is P4/mmm (123). The density of states at the Fermi level is 3.55 states/eV/cell.

Entry 28:
# TiAl2MoS

Crystalline TiAl2MoS at its relaxed geometry (PBE, Alexandria).

Structure (POSCAR):
```
TiAl2MoS
1.0
-1.2077 3.8180 2.8040
2.3044 -1.7901 3.4299
4.0227 2.3548 -1.4737
Mo Al S Ti
1 2 1 1
direct
0.0000 0.0000 0.0000 Mo
0.0000 0.0000 0.5000 Al
0.5000 0.0000 0.0000 Al
0.0000 0.5000 0.0000 S
0.5000 0.5000 0.5000 Ti
```

## Properties
The total DFT energy (no corrections) comes out at -5.492 eV/atom. The space-group type is P4/mmm (123). The density of states at the Fermi level is 4.07 states/eV/cell.